No. 1
CaPbI4 (meta-GGA SCAN, PBEsol geometry); space group = P2/m, No. 10; density of states at the Fermi level = 0.0 states/eV/cell; uncorrected formation energy = -116.47 kJ/mol of atoms
1.0
4.474 0.000 0.000
0.000 7.002 -0.013
0.000 -0.050 7.831
I Ca Pb
4 1 1
Direct
0.500 0.260 0.824 I
0.000 0.254 0.343 I
0.000 0.746 0.657 I
0.500 0.740 0.176 I
0.500 0.000 0.500 Ca
0.000 0.000 0.000 Pb



No. 2
CaPbI4 (meta-GGA SCAN, PBEsol geometry); space group = Cmmm, No. 65; density of states at the Fermi level = 0.0 states/eV/cell; uncorrected formation energy = -111.92 kJ/mol of atoms
1.0
4.692 0.000 0.000
0.000 7.409 0.010
0.000 -0.054 7.409
Ca I Pb
1 4 1
Direct
0.500 0.500 0.500 Ca
0.000 0.306 0.306 I
0.500 0.795 0.205 I
0.000 0.694 0.694 I
0.500 0.205 0.795 I
0.000 0.000 0.000 Pb



No. 3
CaPbSI2 (meta-GGA SCAN, PBEsol geometry); space group = P4/mmm, No. 123; density of states at the Fermi level = 2.4 states/eV/cell; uncorrected formation energy = 1.88 kJ/mol of atoms
1.0
5.538 0.000 0.000
0.000 5.538 0.000
0.000 0.000 12.300
Ca I Pb S
1 2 1 1
Direct
0.000 0.000 0.000 Ca
0.500 0.000 0.000 I
0.000 0.500 0.000 I
0.000 0.000 0.500 Pb
0.500 0.500 0.500 S



No. 4
Ca3PdI (meta-GGA SCAN, PBEsol geometry); space group = Pm-3m, No. 221; density of states at the Fermi level = 2.7 states/eV/cell; uncorrected formation energy = -58.40 kJ/mol of atoms
1.0
-4.151 3.101 -2.034
-2.608 -0.269 4.911
2.638 4.615 1.653
Ca I Pd
3 1 1
Direct
0.000 0.000 0.500 Ca
0.000 0.500 0.000 Ca
0.500 0.000 0.000 Ca
0.500 0.500 0.500 I
0.000 0.000 0.000 Pd



No. 5
CaPdSe2I (meta-GGA SCAN, PBEsol geometry); space group = P4/mmm, No. 123; density of states at the Fermi level = 5.3 states/eV/cell; uncorrected formation energy = -50.58 kJ/mol of atoms
1.0
-1.321 -3.055 3.395
4.304 -2.017 -0.141
1.958 3.882 4.255
Se I Pd Ca
2 1 1 1
Direct
0.000 0.500 0.000 Se
0.500 0.000 0.000 Se
0.500 0.500 0.500 I
0.000 0.000 0.000 Pd
0.000 0.000 0.500 Ca



No. 6
CaTePdI2 (meta-GGA SCAN, PBEsol geometry); space group = P4/mmm, No. 123; density of states at the Fermi level = 4.1 states/eV/cell; uncorrected formation energy = 0.25 kJ/mol of atoms
1.0
5.812 0.000 0.000
0.000 5.812 0.000
0.000 0.000 5.918
I Te Ca Pd
2 1 1 1
Direct
0.500 0.000 0.000 I
0.000 0.500 0.000 I
0.000 0.000 0.500 Te
0.000 0.000 0.000 Ca
0.500 0.500 0.500 Pd